Entry 1:
KPaFeN3 | PBE-GGA | relaxed

Summary:
Theoretical density ... 5.67 g/cm³

Geometry as CIF:
```
data_KPaFeN3
_cell_length_a 7.804
_cell_length_b 3.532
_cell_length_c 8.061
_cell_angle_alpha 90.00
_cell_angle_beta 104.21
_cell_angle_gamma 90.00
_space_group_name_H-M_alt 'P 1 21/m 1'
_space_group_IT_number 11
_space_group_name_Hall '-P 2yb'
loop_
_atom_site_label
_atom_site_type_symbol
_atom_site_fract_x
_atom_site_fract_y
_atom_site_fract_z
K1 K 0.179 0.250 0.204
Pa1 Pa 0.346 0.750 0.837
Fe1 Fe 0.071 0.250 0.591
N1 N 0.148 0.750 0.552
N2 N 0.160 0.250 0.829
N3 N 0.464 0.750 0.126
```


Entry 2:
K2PaFeN4 | PBE-GGA | relaxed

Summary:
Theoretical density ... 5.13 g/cm³

Geometry as CIF:
```
data_K2PaFeN4
_cell_length_a 6.475
_cell_length_b 8.183
_cell_length_c 5.142
_cell_angle_alpha 90.00
_cell_angle_beta 90.00
_cell_angle_gamma 90.00
_space_group_name_H-M_alt 'P m n 21'
_space_group_IT_number 31
_space_group_name_Hall 'P 2ac -2'
loop_
_atom_site_label
_atom_site_type_symbol
_atom_site_fract_x
_atom_site_fract_y
_atom_site_fract_z
K1 K 0.237 0.125 0.000
Pa1 Pa 0.000 0.409 0.498
Fe1 Fe 0.000 0.665 0.947
N1 N 0.000 0.448 0.008
N2 N 0.000 0.653 0.601
N3 N 0.246 0.767 0.010
```


no.,formation energy (no corrections) (eV/atom)
1,-0.789
2,-0.303